# KPaVO4

A geometry-optimized KPaVO4 structure (PBE+U, the Alexandria database).

Lattice parameters (Å, degrees): 7.0581 6.7698 7.2583 122.42 90.00 121.42
Sites, in units of the cell vectors:
Pa 0.5000 0.0000 0.0000
Pa 0.5000 0.0000 0.5000
V 0.0000 0.5000 0.5000
V 0.5000 0.5000 0.5000
O 0.3051 0.9902 0.7451
O 0.7304 0.4609 0.6747
O 0.3149 0.0098 0.2549
O 0.6851 0.9902 0.7451
O 0.2696 0.5391 0.3253
O 0.7304 0.4609 0.2862
O 0.6949 0.0098 0.2549
O 0.2696 0.5391 0.7138
K 0.8751 0.7503 0.1251
K 0.1249 0.2497 0.8749

- size of the total moment (μB per formula unit) = 3.0
- final energy (eV per cell) = -112.25
- SG = Imma (74)